# PBE Na4NdSb3Te8, relaxed
data_Na4NdSb3Te8
_symmetry_space_group_name_H-M 'R -3 m'
_symmetry_Int_Tables_number 166
_symmetry_space_group_name_Hall '-R 3 2"'
_cell_length_a 8.9557
_cell_length_b 8.9557
_cell_length_c 22.7137
_cell_angle_alpha 90.00
_cell_angle_beta 90.00
_cell_angle_gamma 120.00
loop_
_atom_site_label
_atom_site_type_symbol
_atom_site_fract_x
_atom_site_fract_y
_atom_site_fract_z
Na1 Na 0.0000 0.0000 0.0000
Na2 Na 0.0000 0.5000 0.0000
Nd1 Nd 0.0000 0.0000 0.5000
Sb1 Sb 0.0000 0.5000 0.5000
Te1 Te 0.0000 0.0000 0.2434
Te2 Te 0.0071 0.5035 0.7556
# E	-174.6	eV/cell
# formation energy from raw total energies	-10.6	eV/f.u.